1.
Compound: LiZrF2
Source: Alexandria via LeMat-Bulk
Functional: GGA-PBE
Structure: optimized geometry

Unit cell a=3.1683 b=3.1683 c=19.1457 alpha=90.00 beta=90.00 gamma=120.00
Last column: nearest neighbours and their distance in Å.
Space group R-3m (No. 166, hexagonal axes)
Inequivalent atoms, fractional coordinates:
Li  0.0000  0.0000  0.0000 (multiplicity 3)  6 F 2.11
Zr  0.0000  0.0000  0.5000 (multiplicity 3)  2 F 2.13
F  0.0000  0.0000  0.3887 (multiplicity 6)  3 Li 2.11, 1 Zr 2.13

Values from the calculation:
relative energy among the computed polymorphs: 0 kJ/mol of formula units
formation energy from raw total energies: -2.3848 eV/atom


2.
Compound: Li3Pm2ZnCu12
Source: Alexandria via LeMat-Bulk
Functional: GGA-PBE
Structure: optimized geometry

Unit cell a=8.6802 b=8.6802 c=12.5699 alpha=90.00 beta=90.00 gamma=120.00
Last column: nearest neighbours and their distance in Å.
Space group R-3m (No. 166, hexagonal axes)
Inequivalent atoms, fractional coordinates:
Li  0.0000  0.5000  0.0000 (multiplicity 9)  10 Cu 2.67-2.87, 2 Pm 2.89
Pm  0.0000  0.0000  0.2183 (multiplicity 6)  9 Cu 2.86-2.95, 3 Li 2.89
Zn  0.0000  0.0000  0.5000 (multiplicity 3)  6 Cu 2.41
Cu  0.0222  0.5111  0.2118 (multiplicity 18)  1 Zn 2.41, 5 Cu 2.42-2.60, 1 Li 2.67
Cu  0.0503  0.5251  0.6003 (multiplicity 18)  6 Cu 2.42-2.70

Values from the calculation:
ΔE_f: 61 kJ/mol of formula units


3.
Compound: Ba2TeOs
Source: Alexandria via LeMat-Bulk
Functional: GGA-PBE
Structure: optimized geometry

Unit cell a=7.7420 b=7.7420 c=7.7420 alpha=90.00 beta=90.00 gamma=90.00
Last column: nearest neighbours and their distance in Å.
Space group F-43m (No. 216)
Inequivalent atoms, fractional coordinates:
Ba  0.0000  0.0000  0.0000 (multiplicity 4)  4 Ba 3.35, 4 Te 3.35
Ba  0.2500  0.2500  0.2500 (multiplicity 4)  4 Os 3.35, 4 Ba 3.35
Te  0.2500  0.2500  0.7500 (multiplicity 4)  4 Ba 3.35, 4 Os 3.35
Os  0.0000  0.0000  0.5000 (multiplicity 4)  4 Te 3.35, 4 Ba 3.35

Values from the calculation:
formation energy from raw total energies: 0.4122 eV/atom


4.
Compound: ErPaO
Source: Alexandria via LeMat-Bulk
Functional: GGA-PBE
Structure: optimized geometry

Unit cell a=3.4710 b=3.4710 c=18.9290 alpha=90.00 beta=90.00 gamma=120.00
Last column: nearest neighbours and their distance in Å.
Space group R3m (No. 160, hexagonal axes)
Inequivalent atoms, fractional coordinates:
Er  0.0000  0.0000  0.0000 (multiplicity 3)  3 O 2.24
Pa  0.0000  0.0000  0.4962 (multiplicity 3)  1 O 2.23
O  0.0000  0.0000  0.6137 (multiplicity 3)  1 Pa 2.23, 3 Er 2.24

Values from the calculation:
formation energy from raw total energies: -1.6071 eV/atom